A plane-wave DFT calculation with PBE+U was carried out for an optimized crystal structure of W7O6F30.

* uncorrected energy: -5.684 eV per atom

a b c (Å): 9.311 9.472 9.554
angles (deg): 115.96 100.02 99.74
Fractional positions:
W: 0.000 0.000 0.000
W: 0.231 0.746 0.760
W: 0.239 0.066 0.398
W: 0.262 0.400 0.087
W: 0.738 0.600 0.913
W: 0.761 0.934 0.602
W: 0.769 0.254 0.240
O: 0.102 0.210 0.028
O: 0.121 0.897 0.861
O: 0.152 0.035 0.186
O: 0.848 0.965 0.814
O: 0.879 0.103 0.139
O: 0.898 0.790 0.972
F: 0.054 0.573 0.683
F: 0.063 0.913 0.369
F: 0.132 0.536 0.136
F: 0.150 0.238 0.486
F: 0.180 0.757 0.566
F: 0.214 0.367 0.874
F: 0.285 0.734 0.953
F: 0.309 0.437 0.302
F: 0.313 0.095 0.609
F: 0.332 0.897 0.316
F: 0.337 0.592 0.669
F: 0.392 0.264 0.036
F: 0.408 0.917 0.833
F: 0.418 0.215 0.427
F: 0.428 0.579 0.150
F: 0.572 0.421 0.850
F: 0.582 0.785 0.573
F: 0.592 0.083 0.167
F: 0.608 0.736 0.964
F: 0.663 0.408 0.331
F: 0.668 0.103 0.684
F: 0.687 0.905 0.391
F: 0.691 0.563 0.698
F: 0.715 0.266 0.047
F: 0.786 0.633 0.126
F: 0.820 0.243 0.434
F: 0.850 0.762 0.514
F: 0.868 0.464 0.864
F: 0.937 0.087 0.631
F: 0.946 0.427 0.317